w | First-principles (GGA-PBE) data for a relaxed structure of BeHgP2, as listed in Alexandria via LeMat-Bulk.

Unit cell a=3.918 b=3.918 c=6.872 alpha=70.65 beta=70.65 gamma=50.62
Sites, in units of the cell vectors:
P: 0.932 0.932 0.931
P: 0.884 0.884 0.634
Hg: 0.128 0.128 0.223
Be: 0.555 0.555 0.712

***

x | First-principles (GGA-PBE) data for a relaxed structure of BeHgP2, as listed in Alexandria via LeMat-Bulk.

Unit cell a=9.973 b=9.973 c=9.973 alpha=16.47 beta=16.47 gamma=16.47
Sites, in units of the cell vectors:
P: 0.973 0.973 0.973
P: 0.527 0.527 0.527
Hg: 0.750 0.750 0.750
Be: 0.250 0.250 0.250

***

The least stable of them is x.